one:
Pm2Ge3Rh5 PBE-GGA relaxed; N(E_F) = 0.57 states/eV per atom; space-group type = Ibam; ρ = 9.2 Mg/m³; crystal system = orthorhombic; total magnetic moment = 0.000 μB per formula unit
1.0
5.8444 0.0000 0.0000
2.9222 8.1174 0.6327
2.9222 1.8772 7.9227
Pm Rh Ge
4 10 6
direct
0.1395 0.6226 0.0984
0.3605 0.9016 0.3774
0.6395 0.0984 0.6226
0.8605 0.3774 0.9016
0.4662 0.2838 0.2838
0.8715 0.0224 0.2346
0.7500 0.5000 0.5000
0.1285 0.9776 0.7654
0.9662 0.2838 0.2838
0.5338 0.7162 0.7162
0.3715 0.2346 0.0224
0.6285 0.7654 0.9776
0.2500 0.5000 0.5000
0.0338 0.7162 0.7162
0.2500 0.0000 0.0000
0.8934 0.7514 0.4618
0.1066 0.2486 0.5382
0.3934 0.4618 0.7514
0.7500 0.0000 0.0000
0.6066 0.5382 0.2486

two:
Pm2Ge3Rh5 PBE-GGA relaxed; N(E_F) = 0.53 states/eV per atom; space-group type = Cmc2_1; ρ = 9.7 Mg/m³; crystal system = orthorhombic; total magnetic moment = 0.000 μB per formula unit
1.0
-3.2075 -2.6005 0.6624
2.0628 -3.8485 -5.1202
8.6209 -5.3595 7.5016
Ge Pm Rh
6 4 10
direct
0.2290 0.2324 0.4579
0.6125 0.4998 0.2249
0.9491 0.4609 0.8981
0.7710 0.7324 0.5421
0.0509 0.9609 0.1019
0.3875 0.9998 0.7751
0.1751 0.7422 0.3503
0.5182 0.2507 0.0364
0.4818 0.7507 0.9636
0.8249 0.2422 0.6497
0.7094 0.4353 0.4188
0.0586 0.5883 0.1173
0.1298 0.2223 0.2597
0.3983 0.4066 0.7965
0.6017 0.9066 0.2035
0.9414 0.0883 0.8827
0.2917 0.5264 0.5834
0.8702 0.7223 0.7403
0.7083 0.0264 0.4166
0.2906 0.9353 0.5812

Bottom line: one, by a margin of 41 meV per atom.